LaNd3Sm6 PBE optimized geometry; E_tot = -92.3 eV for the cell shown; formation enthalpy at 0 K = 138 meV per atom; DOS at the Fermi energy = 1.454 states/eV per atom; spin magnetization = 0.00 μB/f.u.; polymorph energy (0 for the lowest one) = 0.000 eV per formula unit
1.0
6.434 0.000 0.000
0.000 11.033 -1.672
0.000 -4.092 10.381
La Nd Sm
2 6 12
direct
0.104 0.189 0.811
0.604 0.811 0.189
0.463 0.940 0.708
0.963 0.708 0.940
0.086 0.384 0.616
0.586 0.616 0.384
0.963 0.060 0.292
0.463 0.292 0.060
0.053 0.710 0.626
0.553 0.626 0.710
0.377 0.531 0.948
0.877 0.948 0.531
0.367 0.963 0.037
0.642 0.280 0.720
0.142 0.720 0.280
0.867 0.037 0.963
0.377 0.052 0.469
0.877 0.469 0.052
0.053 0.374 0.290
0.553 0.290 0.374

MgTaPO2 PBE optimized geometry; E_tot = -30.7 eV for the cell shown; ΔE_f (raw) = -391.3 meV/atom; DOS at the Fermi energy = 0.416 states/eV per atom; spin magnetization = 0.17 μB/f.u.; polymorph energy (0 for the lowest one) = 6.619 eV per formula unit
1.0
3.719 0.000 0.000
0.000 3.719 0.000
0.000 0.000 4.896
P Mg O Ta
1 1 2 1
direct
0.000 0.000 0.500
0.000 0.000 0.000
0.000 0.500 0.000
0.500 0.000 0.000
0.500 0.500 0.500

SnTe2Ir PBE optimized geometry; E_tot = -37.9 eV for the cell shown; ΔE_f (raw) = 54.1 meV/atom; DOS at the Fermi energy = 0.607 states/eV per atom; spin magnetization = 0.00 μB/f.u.
1.0
-3.097 1.283 -1.776
0.922 -6.449 -2.305
-4.580 -2.789 5.972
Sn Te Ir
2 4 2
direct
0.910 0.824 0.250
0.090 0.176 0.750
0.354 0.709 0.550
0.646 0.291 0.450
0.354 0.709 0.950
0.646 0.291 0.050
0.742 0.496 0.750
0.258 0.504 0.250

Hf2ScHPb PBE optimized geometry; E_tot = -34.4 eV for the cell shown; DOS at the Fermi energy = 0.668 states/eV per atom; spin magnetization = 0.00 μB/f.u.
1.0
-0.296 -4.336 -0.681
-0.293 -0.662 4.339
-4.639 0.358 -0.258
Pb Sc Hf H
1 1 2 1
direct
0.500 0.500 0.500
0.000 0.000 0.500
0.000 0.500 0.000
0.500 0.000 0.000
0.000 0.000 0.000

Zr2NpN4 PBE optimized geometry; E_tot = -146.0 eV for the cell shown; ΔE_f (raw) = -1381.4 meV/atom; DOS at the Fermi energy = 0.837 states/eV per atom; spin magnetization = 2.56 μB/f.u.; polymorph energy (0 for the lowest one) = 0.000 eV per formula unit
1.0
-0.250 3.171 -0.434
-5.213 -2.016 0.143
-0.258 1.407 10.427
Zr Np N
4 2 8
direct
0.132 0.264 0.433
0.868 0.736 0.933
0.132 0.264 0.067
0.868 0.736 0.567
0.614 0.227 0.750
0.386 0.773 0.250
0.771 0.543 0.121
0.771 0.543 0.379
0.229 0.457 0.879
0.229 0.457 0.621
0.971 0.943 0.750
0.029 0.057 0.250
0.500 0.000 0.000
0.500 0.000 0.500

SrSb2Ir PBE optimized geometry; E_tot = -18.8 eV for the cell shown; ΔE_f (raw) = 0.0 meV/atom; DOS at the Fermi energy = 0.667 states/eV per atom; spin magnetization = 0.00 μB/f.u.
1.0
5.752 -0.001 0.000
2.308 5.269 0.000
-4.030 -2.634 3.148
Ir Sb Sr
1 2 1
direct
0.750 0.250 0.500
0.000 0.000 0.000
0.250 0.750 0.500
0.500 0.500 0.000

Question: Which formula does entry 1 have?
Answer: LaNd3Sm6